An optimized crystal structure of HWN2O. Source: Alexandria via LeMat-Bulk, functional GGA+U.

```
HWN2O
1.0
-1.712 2.015 1.531
-2.188 -0.250 -2.118
-1.739 -3.124 2.166
N H W O
2 1 1 1
Direct
0.500 0.000 0.000
0.000 0.500 0.000
0.000 0.000 0.000
0.500 0.500 0.500
0.000 0.000 0.500
```

Output
spin magnetization	0.042	μB/atom
VASP energy	-5.247	eV/atom